[1]
Compound: LiCd2
Source: Alexandria
Functional: SCAN
Structure: PBEsol geometry

a b c (Å): 4.6656 5.6930 8.2360
angles (deg): 90.00 90.00 90.00
Closest atoms and distances in Å follow each position.
Positions (direct):
1 Cd 0.2500 0.7484 0.9178  5 Li 2.71-2.85
2 Cd 0.2500 0.0006 0.2499  8 Cd 2.85-3.09, 6 Li 3.04-3.12
3 Cd 0.7500 0.9994 0.7501  8 Cd 2.85-3.09, 6 Li 3.04-3.12
4 Cd 0.7500 0.7516 0.4178  5 Li 2.71-2.85
5 Cd 0.7500 0.2516 0.0822  5 Li 2.71-2.85
6 Li 0.7500 0.7518 0.0862  5 Cd 2.71-2.85
7 Li 0.2500 0.7482 0.5862  5 Cd 2.71-2.85
8 Cd 0.2500 0.2484 0.5822  5 Li 2.71-2.85
9 Li 0.2500 0.2482 0.9138  5 Cd 2.71-2.85
10 Cd 0.2500 0.5006 0.2501  8 Cd 2.85-3.09, 6 Li 3.04-3.12
11 Cd 0.7500 0.4994 0.7499  8 Cd 2.85-3.09, 6 Li 3.04-3.12
12 Li 0.7500 0.2518 0.4138  5 Cd 2.71-2.85

Computed properties:
final energy	-255.6	eV per cell
crystal system	orthorhombic
magnetic moment	0.00	μB/f.u.
N(E_F)	0.7	states/eV/f.u.
energy of formation	-0.23	eV per atom
volume	54.69	Å³/f.u.
space group	Pnma


[2]
Compound: LiCd3
Source: Alexandria
Functional: SCAN
Structure: PBEsol geometry

a b c (Å): 4.8357 6.0263 6.0263
angles (deg): 120.00 90.00 90.00
Closest atoms and distances in Å follow each position.
Positions (direct):
1 Cd 0.7500 0.6610 0.8305  4 Li 2.96-3.01, 8 Cd 2.96-3.06
2 Cd 0.7500 0.1695 0.3390  4 Li 2.96-3.01, 8 Cd 2.96-3.06
3 Cd 0.2500 0.3390 0.1695  4 Li 2.96-3.01, 8 Cd 2.96-3.06
4 Cd 0.2500 0.8305 0.1695  4 Li 2.96-3.01, 8 Cd 2.96-3.06
5 Li 0.7500 0.6667 0.3333  12 Cd 2.96-3.01
6 Li 0.2500 0.3333 0.6667  12 Cd 2.96-3.01
7 Cd 0.7500 0.1695 0.8305  4 Li 2.96-3.01, 8 Cd 2.96-3.06
8 Cd 0.2500 0.8305 0.6610  4 Li 2.96-3.01, 8 Cd 2.96-3.06

Computed properties:
final energy	-189.0	eV per cell
crystal system	hexagonal
magnetic moment	0.00	μB/f.u.
N(E_F)	0.9	states/eV/f.u.
energy of formation	-0.22	eV per atom
volume	76.04	Å³/f.u.
space group	P6_3/mmc


[3]
Compound: LiCd2
Source: Alexandria
Functional: SCAN
Structure: PBEsol geometry

a b c (Å): 5.6968 5.6968 9.1368
angles (deg): 90.00 90.00 120.00
Closest atoms and distances in Å follow each position.
Positions (direct):
1 Cd 0.8283 0.1717 0.2500  6 Cd 2.76-2.93
2 Cd 0.1717 0.3434 0.7500  6 Cd 2.76-2.93
3 Cd 0.8283 0.6566 0.2500  6 Cd 2.76-2.93
4 Cd 0.6566 0.8283 0.7500  6 Cd 2.76-2.93
5 Cd 0.1717 0.8283 0.7500  6 Cd 2.76-2.93
6 Cd 0.0000 0.0000 0.0000  6 Cd 2.84
7 Cd 0.3434 0.1717 0.2500  6 Cd 2.76-2.93
8 Cd 0.0000 0.0000 0.5000  6 Cd 2.84
9 Li 0.6667 0.3333 0.5619  12 Cd 3.27-3.34, 4 Li 3.44-3.48
10 Li 0.6667 0.3333 0.9381  12 Cd 3.27-3.34, 4 Li 3.44-3.48
11 Li 0.3333 0.6667 0.0619  12 Cd 3.27-3.34, 4 Li 3.44-3.48
12 Li 0.3333 0.6667 0.4381  12 Cd 3.27-3.34, 4 Li 3.44-3.48

Computed properties:
final energy	-254.9	eV per cell
crystal system	hexagonal
magnetic moment	0.00	μB/f.u.
N(E_F)	0.8	states/eV/f.u.
energy of formation	-0.17	eV per atom
volume	64.20	Å³/f.u.
space group	P6_3/mmc


[4]
Compound: LiCd2
Source: Alexandria
Functional: SCAN
Structure: PBEsol geometry

a b c (Å): 4.2576 4.2576 12.8784
angles (deg): 99.51 99.51 90.00
Closest atoms and distances in Å follow each position.
Positions (direct):
1 Cd 0.4148 0.4148 0.8296  6 Cd 2.92-3.06, 6 Li 2.98-3.01
2 Li 0.3318 0.8318 0.6635  10 Cd 2.91-3.01, 2 Li 3.04
3 Cd 0.0025 0.5025 0.0049  4 Li 2.91-3.00, 8 Cd 2.97-3.06
4 Cd 0.7525 0.7525 0.5049  4 Li 2.91-3.00, 8 Cd 2.97-3.06
5 Cd 0.2475 0.2475 0.4951  4 Li 2.91-3.00, 8 Cd 2.97-3.06
6 Cd 0.8352 0.3352 0.6704  6 Cd 2.92-3.06, 6 Li 2.98-3.01
7 Cd 0.5852 0.5852 0.1704  6 Cd 2.92-3.06, 6 Li 2.98-3.01
8 Cd 0.4975 0.9975 0.9951  4 Li 2.91-3.00, 8 Cd 2.97-3.06
9 Cd 0.6648 0.1648 0.3296  6 Cd 2.92-3.06, 6 Li 2.98-3.01
10 Li 0.9182 0.9182 0.8365  10 Cd 2.91-3.01, 2 Li 3.04
11 Li 0.1682 0.6682 0.3365  10 Cd 2.91-3.01, 2 Li 3.04
12 Li 0.0818 0.0818 0.1635  10 Cd 2.91-3.01, 2 Li 3.04

Computed properties:
final energy	-255.5	eV per cell
crystal system	tetragonal
magnetic moment	0.00	μB/f.u.
N(E_F)	0.8	states/eV/f.u.
energy of formation	-0.22	eV per atom
volume	56.75	Å³/f.u.
space group	I4_1/amd


[5]
Compound: LiCd3
Source: Alexandria
Functional: SCAN
Structure: PBEsol geometry

a b c (Å): 3.3648 3.3648 6.6522
angles (deg): 90.00 90.00 90.00
Closest atoms and distances in Å follow each position.
Positions (direct):
1 Li 0.5000 0.5000 0.0000  8 Cd 2.81
2 Cd 0.5000 0.5000 0.5000  8 Cd 3.00, 2 Li 3.33
3 Cd 0.0000 0.0000 0.7739  4 Li 2.81, 5 Cd 3.00-3.01
4 Cd 0.0000 0.0000 0.2261  4 Li 2.81, 5 Cd 3.00-3.01

Computed properties:
final energy	-94.3	eV per cell
crystal system	tetragonal
magnetic moment	0.00	μB/f.u.
N(E_F)	0.8	states/eV/f.u.
energy of formation	-0.17	eV per atom
volume	75.31	Å³/f.u.
space group	P4/mmm


[6]
Compound: Li2Cd
Source: Alexandria
Functional: SCAN
Structure: PBEsol geometry

a b c (Å): 2.9524 4.0714 5.0850
angles (deg): 113.60 106.88 90.00
Closest atoms and distances in Å follow each position.
Positions (direct):
1 Li 0.6623 0.6623 0.3246  7 Li 2.87-2.95, 5 Cd 2.90-2.98
2 Cd 0.0000 0.0000 0.0000  10 Li 2.90-2.98, 2 Cd 2.95
3 Li 0.3377 0.3377 0.6754  7 Li 2.87-2.95, 5 Cd 2.90-2.98

Computed properties:
final energy	-36.0	eV per cell
crystal system	orthorhombic
magnetic moment	0.00	μB/f.u.
N(E_F)	1.0	states/eV/f.u.
energy of formation	-0.25	eV per atom
volume	53.13	Å³/f.u.
space group	Immm